1.
Density functional theory data (GGA-PBE) for crystalline AcHo2Cu2Ge2 at its relaxed geometry.

```
data_AcHo2Cu2Ge2
_chemical_formula_sum 'Ac1 Ho2 Cu2 Ge2'
_cell_length_a 9.9143
_cell_length_b 9.9143
_cell_length_c 9.9143
_cell_angle_alpha 25.51
_cell_angle_beta 25.51
_cell_angle_gamma 25.51
_symmetry_space_group_name_H-M 'P 1'
_symmetry_Int_Tables_number 1
_symmetry_space_group_name_Hall 'P 1'
loop_
_atom_site_label
_atom_site_fract_x
_atom_site_fract_y
_atom_site_fract_z
Ac1 0.0000 0.0000 0.0000
Ho1 0.1299 0.1299 0.1299
Ho2 0.8701 0.8701 0.8701
Cu1 0.4132 0.4132 0.4132
Cu2 0.5868 0.5868 0.5868
Ge1 0.2540 0.2540 0.2540
Ge2 0.7460 0.7460 0.7460
```

Uncorrected energy, eV/atom: -4.866
Total magnetization, μB per atom: 0.000
V, Å³/cell: 159
Density of states at the Fermi level, states/eV per atom: 0.58


2.
Density functional theory data (GGA-PBE) for crystalline AcHoCuGe at its relaxed geometry.

```
data_AcHoCuGe
_chemical_formula_sum 'Ac4 Ho4 Cu4 Ge4'
_cell_length_a 7.3886
_cell_length_b 7.3886
_cell_length_c 7.3886
_cell_angle_alpha 90.00
_cell_angle_beta 90.00
_cell_angle_gamma 90.00
_symmetry_space_group_name_H-M 'P 1'
_symmetry_Int_Tables_number 1
_symmetry_space_group_name_Hall 'P 1'
loop_
_atom_site_label
_atom_site_fract_x
_atom_site_fract_y
_atom_site_fract_z
Ac1 0.0000 0.0000 0.0000
Ac2 0.0000 0.5000 0.5000
Ac3 0.5000 0.0000 0.5000
Ac4 0.5000 0.5000 0.0000
Ho1 0.0000 0.0000 0.5000
Ho2 0.0000 0.5000 0.0000
Ho3 0.5000 0.0000 0.0000
Ho4 0.5000 0.5000 0.5000
Cu1 0.2500 0.2500 0.2500
Cu2 0.2500 0.7500 0.7500
Cu3 0.7500 0.2500 0.7500
Cu4 0.7500 0.7500 0.2500
Ge1 0.2500 0.2500 0.7500
Ge2 0.2500 0.7500 0.2500
Ge3 0.7500 0.2500 0.2500
Ge4 0.7500 0.7500 0.7500
```

Uncorrected energy, eV/atom: -4.713
Total magnetization, μB per atom: 0.000
V, Å³/cell: 403
Density of states at the Fermi level, states/eV per atom: 1.02


3.
Density functional theory data (GGA-PBE) for crystalline Ac4CuGeI2 at its relaxed geometry.

```
data_Ac4CuGeI2
_chemical_formula_sum 'Ac4 Cu1 Ge1 I2'
_cell_length_a 8.1693
_cell_length_b 4.4747
_cell_length_c 8.4762
_cell_angle_alpha 90.00
_cell_angle_beta 106.93
_cell_angle_gamma 90.00
_symmetry_space_group_name_H-M 'P 1'
_symmetry_Int_Tables_number 1
_symmetry_space_group_name_Hall 'P 1'
loop_
_atom_site_label
_atom_site_fract_x
_atom_site_fract_y
_atom_site_fract_z
Ac1 0.2229 0.0000 0.1957
Ac2 0.2654 0.5000 0.7934
Ac3 0.7346 0.5000 0.2066
Ac4 0.7771 0.0000 0.8043
Cu1 0.0000 0.5000 0.0000
Ge1 0.5000 0.0000 0.0000
I1 0.0000 0.0000 0.5000
I2 0.5000 0.5000 0.5000
```

Uncorrected energy, eV/atom: -4.284
Total magnetization, μB per atom: 0.000
V, Å³/cell: 296
Density of states at the Fermi level, states/eV per atom: 0.80
Uncorrected formation energy, eV/atom: -0.753


4.
Density functional theory data (GGA-PBE) for crystalline Ac8CuGe3I4 at its relaxed geometry.

```
data_Ac8CuGe3I4
_chemical_formula_sum 'Ac8 Cu1 Ge3 I4'
_cell_length_a 9.6528
_cell_length_b 9.6528
_cell_length_c 9.6528
_cell_angle_alpha 57.29
_cell_angle_beta 57.29
_cell_angle_gamma 57.29
_symmetry_space_group_name_H-M 'P 1'
_symmetry_Int_Tables_number 1
_symmetry_space_group_name_Hall 'P 1'
loop_
_atom_site_label
_atom_site_fract_x
_atom_site_fract_y
_atom_site_fract_z
Ac1 0.2350 0.2350 0.2350
Ac2 0.2397 0.7314 0.7314
Ac3 0.2686 0.2686 0.7603
Ac4 0.2686 0.7603 0.2686
Ac5 0.7314 0.2397 0.7314
Ac6 0.7314 0.7314 0.2397
Ac7 0.7603 0.2686 0.2686
Ac8 0.7650 0.7650 0.7650
Cu1 0.5000 0.5000 0.5000
Ge1 0.0000 0.0000 0.5000
Ge2 0.0000 0.5000 0.0000
Ge3 0.5000 0.0000 0.0000
I1 0.0000 0.0000 0.0000
I2 0.0000 0.5000 0.5000
I3 0.5000 0.0000 0.5000
I4 0.5000 0.5000 0.0000
```

Uncorrected energy, eV/atom: -4.438
Total magnetization, μB per atom: 0.000
V, Å³/cell: 596
Density of states at the Fermi level, states/eV per atom: 0.72
Uncorrected formation energy, eV/atom: -0.874


5.
Density functional theory data (GGA-PBE) for crystalline Ac2InCu4Ge3 at its relaxed geometry.

```
data_Ac2InCu4Ge3
_chemical_formula_sum 'Ac2 In1 Cu4 Ge3'
_cell_length_a 4.3865
_cell_length_b 4.3865
_cell_length_c 10.5604
_cell_angle_alpha 90.00
_cell_angle_beta 90.00
_cell_angle_gamma 90.00
_symmetry_space_group_name_H-M 'P 1'
_symmetry_Int_Tables_number 1
_symmetry_space_group_name_Hall 'P 1'
loop_
_atom_site_label
_atom_site_fract_x
_atom_site_fract_y
_atom_site_fract_z
Ac1 0.0000 0.5000 0.2340
Ac2 0.5000 0.0000 0.7660
In1 0.0000 0.0000 0.5000
Cu1 0.0000 0.0000 0.0000
Cu2 0.0000 0.5000 0.6430
Cu3 0.5000 0.0000 0.3570
Cu4 0.5000 0.5000 0.0000
Ge1 0.0000 0.5000 0.8780
Ge2 0.5000 0.0000 0.1220
Ge3 0.5000 0.5000 0.5000
```

Uncorrected energy, eV/atom: -4.563
Total magnetization, μB per atom: 0.000
V, Å³/cell: 203
Density of states at the Fermi level, states/eV per atom: 0.51


6.
Density functional theory data (GGA-PBE) for crystalline AcInCuGe at its relaxed geometry.

```
data_AcInCuGe
_chemical_formula_sum 'Ac4 In4 Cu4 Ge4'
_cell_length_a 7.2998
_cell_length_b 7.2998
_cell_length_c 7.2998
_cell_angle_alpha 90.00
_cell_angle_beta 90.00
_cell_angle_gamma 90.00
_symmetry_space_group_name_H-M 'P 1'
_symmetry_Int_Tables_number 1
_symmetry_space_group_name_Hall 'P 1'
loop_
_atom_site_label
_atom_site_fract_x
_atom_site_fract_y
_atom_site_fract_z
Ac1 0.0000 0.0000 0.0000
Ac2 0.0000 0.5000 0.5000
Ac3 0.5000 0.0000 0.5000
Ac4 0.5000 0.5000 0.0000
In1 0.0000 0.0000 0.5000
In2 0.0000 0.5000 0.0000
In3 0.5000 0.0000 0.0000
In4 0.5000 0.5000 0.5000
Cu1 0.2500 0.2500 0.7500
Cu2 0.2500 0.7500 0.2500
Cu3 0.7500 0.2500 0.2500
Cu4 0.7500 0.7500 0.7500
Ge1 0.2500 0.2500 0.2500
Ge2 0.2500 0.7500 0.7500
Ge3 0.7500 0.2500 0.7500
Ge4 0.7500 0.7500 0.2500
```

Uncorrected energy, eV/atom: -4.080
Total magnetization, μB per atom: 0.000
V, Å³/cell: 389
Density of states at the Fermi level, states/eV per atom: 0.67


7.
Density functional theory data (GGA-PBE) for crystalline Ac2InCu3Ge4 at its relaxed geometry.

```
data_Ac2InCu3Ge4
_chemical_formula_sum 'Ac2 In1 Cu3 Ge4'
_cell_length_a 4.4298
_cell_length_b 4.4298
_cell_length_c 10.6351
_cell_angle_alpha 90.00
_cell_angle_beta 90.00
_cell_angle_gamma 90.00
_symmetry_space_group_name_H-M 'P 1'
_symmetry_Int_Tables_number 1
_symmetry_space_group_name_Hall 'P 1'
loop_
_atom_site_label
_atom_site_fract_x
_atom_site_fract_y
_atom_site_fract_z
Ac1 0.0000 0.5000 0.2365
Ac2 0.5000 0.0000 0.7635
In1 0.0000 0.0000 0.5000
Cu1 0.0000 0.5000 0.8833
Cu2 0.5000 0.0000 0.1167
Cu3 0.5000 0.5000 0.5000
Ge1 0.0000 0.0000 0.0000
Ge2 0.0000 0.5000 0.6508
Ge3 0.5000 0.0000 0.3492
Ge4 0.5000 0.5000 0.0000
```

Uncorrected energy, eV/atom: -4.616
Total magnetization, μB per atom: 0.000
V, Å³/cell: 209
Density of states at the Fermi level, states/eV per atom: 0.30


8.
Density functional theory data (GGA-PBE) for crystalline AcIn2Cu2Ge at its relaxed geometry.

```
data_AcIn2Cu2Ge
_chemical_formula_sum 'Ac1 In2 Cu2 Ge1'
_cell_length_a 4.7300
_cell_length_b 4.7300
_cell_length_c 6.2466
_cell_angle_alpha 90.00
_cell_angle_beta 90.00
_cell_angle_gamma 90.00
_symmetry_space_group_name_H-M 'P 1'
_symmetry_Int_Tables_number 1
_symmetry_space_group_name_Hall 'P 1'
loop_
_atom_site_label
_atom_site_fract_x
_atom_site_fract_y
_atom_site_fract_z
Ac1 0.0000 0.0000 0.0000
In1 0.5000 0.5000 0.2398
In2 0.5000 0.5000 0.7602
Cu1 0.0000 0.5000 0.5000
Cu2 0.5000 0.0000 0.5000
Ge1 0.0000 0.0000 0.5000
```

Uncorrected energy, eV/atom: -3.847
Total magnetization, μB per atom: 0.000
V, Å³/cell: 140
Density of states at the Fermi level, states/eV per atom: 0.58